This record from Alexandria via LeMat-Bulk describes a relaxed Cs2TaAlF6 crystal. The functional is GGA-PBE.

Lattice parameters (Å, degrees): 7.2769 7.2769 7.2769 128.10 128.10 76.47
Atoms (fractional coordinates):
Cs: 0.2500 0.7500 0.5000
Cs: 0.7500 0.2500 0.5000
Ta: 0.0000 0.0000 0.0000
Al: 0.5000 0.5000 0.0000
F: 0.1737 0.1737 0.0000
F: 0.2266 0.2266 0.4531
F: 0.2266 0.7734 0.0000
F: 0.7734 0.2266 0.0000
F: 0.7734 0.7734 0.5469
F: 0.8263 0.8263 0.0000

Output
Formation energy without anion corrections, eV/atom: -2.393

***

This record from Alexandria via LeMat-Bulk describes a relaxed YBeFe2 crystal. The functional is GGA-PBE.

Lattice parameters (Å, degrees): 3.8501 3.8501 8.1123 90.00 90.00 90.00
Atoms (fractional coordinates):
Y: 0.0000 0.0000 0.0000
Y: 0.5000 0.5000 0.5000
Be: 0.0000 0.0000 0.5000
Be: 0.5000 0.5000 0.0000
Fe: 0.0000 0.5000 0.2500
Fe: 0.0000 0.5000 0.7500
Fe: 0.5000 0.0000 0.2500
Fe: 0.5000 0.0000 0.7500

Output
ΔH_f (0 K), eV per atom: 0.36

***

This record from Alexandria via LeMat-Bulk describes a relaxed Tl4Cd2Sn crystal. The functional is GGA-PBE.

Lattice parameters (Å, degrees): 5.8323 5.8323 15.2610 90.00 90.00 90.00
Atoms (fractional coordinates):
Tl: 0.0000 0.0000 0.2022
Tl: 0.0000 0.0000 0.7978
Tl: 0.0000 0.5000 0.0000
Tl: 0.0000 0.5000 0.5000
Tl: 0.5000 0.0000 0.0000
Tl: 0.5000 0.0000 0.5000
Tl: 0.5000 0.5000 0.2978
Tl: 0.5000 0.5000 0.7022
Cd: 0.0000 0.0000 0.3979
Cd: 0.0000 0.0000 0.6021
Cd: 0.5000 0.5000 0.1021
Cd: 0.5000 0.5000 0.8979
Sn: 0.0000 0.0000 0.0000
Sn: 0.5000 0.5000 0.5000

Output
ΔH_f (0 K), eV per atom: 0.26
ΔE to the lowest computed polymorph, meV/atom: 228.4

***

This record from Alexandria via LeMat-Bulk describes a relaxed SiRh2Br crystal. The functional is GGA-PBE.

Lattice parameters (Å, degrees): 5.3171 5.3171 11.8435 90.00 90.00 90.00
Atoms (fractional coordinates):
Si: 0.0000 0.0000 0.0000
Si: 0.0000 0.5000 0.2500
Si: 0.5000 0.0000 0.7500
Si: 0.5000 0.5000 0.5000
Rh: 0.2041 0.2500 0.1250
Rh: 0.2500 0.7041 0.3750
Rh: 0.2500 0.7959 0.8750
Rh: 0.2959 0.2500 0.6250
Rh: 0.7041 0.7500 0.6250
Rh: 0.7500 0.2041 0.8750
Rh: 0.7500 0.2959 0.3750
Rh: 0.7959 0.7500 0.1250
Br: 0.0000 0.0000 0.5000
Br: 0.0000 0.5000 0.7500
Br: 0.5000 0.0000 0.2500
Br: 0.5000 0.5000 0.0000

Output
ΔE to the lowest computed polymorph, meV/atom: 412.1
Formation energy without anion corrections, eV/atom: 0.086

***

This record from Alexandria via LeMat-Bulk describes a relaxed CoIr2Au crystal. The functional is GGA-PBE.

Lattice parameters (Å, degrees): 3.8709 3.8709 7.7426 90.00 90.00 90.00
Atoms (fractional coordinates):
Co: 0.0000 0.0000 0.0000
Co: 0.5000 0.5000 0.5000
Ir: 0.0000 0.0000 0.5000
Ir: 0.0000 0.5000 0.7500
Ir: 0.5000 0.0000 0.2500
Ir: 0.5000 0.5000 0.0000
Au: 0.0000 0.5000 0.2500
Au: 0.5000 0.0000 0.7500

Output
ΔH_f (0 K), eV per atom: 0.32
ΔE to the lowest computed polymorph, meV/atom: 147.5

***

This record from Alexandria via LeMat-Bulk describes a relaxed Ce3SeN2 crystal. The functional is GGA-PBE.

Lattice parameters (Å, degrees): 6.7910 6.7910 9.6889 90.00 90.00 146.83
Atoms (fractional coordinates):
Ce: 0.0629 0.9371 0.7500
Ce: 0.3746 0.6254 0.5590
Ce: 0.3746 0.6254 0.9410
Ce: 0.6254 0.3746 0.0590
Ce: 0.6254 0.3746 0.4410
Ce: 0.9371 0.0629 0.2500
Se: 0.2547 0.7453 0.2500
Se: 0.7453 0.2547 0.7500
N: 0.0000 0.0000 0.0000
N: 0.0000 0.0000 0.5000
N: 0.4667 0.5333 0.7500
N: 0.5333 0.4667 0.2500

Output
Formation energy without anion corrections, eV/atom: -1.459

***

This record from Alexandria via LeMat-Bulk describes a relaxed La2NdS3 crystal. The functional is GGA-PBE.

Lattice parameters (Å, degrees): 4.1310 5.8394 12.3679 90.00 90.00 90.00
Atoms (fractional coordinates):
La: 0.0000 0.0000 0.1666
La: 0.0000 0.0000 0.8334
La: 0.5000 0.5000 0.3334
La: 0.5000 0.5000 0.6666
Nd: 0.0000 0.0000 0.5000
Nd: 0.5000 0.5000 0.0000
S: 0.0000 0.5000 0.1643
S: 0.0000 0.5000 0.5000
S: 0.0000 0.5000 0.8357
S: 0.5000 0.0000 0.0000
S: 0.5000 0.0000 0.3357
S: 0.5000 0.0000 0.6643

Output
ΔE to the lowest computed polymorph, meV/atom: 5.4
Formation energy without anion corrections, eV/atom: -2.121

***

This record from Alexandria via LeMat-Bulk describes a relaxed KY2Cl crystal. The functional is GGA-PBE.

Lattice parameters (Å, degrees): 3.4531 5.4366 13.6253 90.00 90.00 90.00
Atoms (fractional coordinates):
K: 0.0000 0.0000 0.0000
K: 0.5000 0.5000 0.5000
Y: 0.0000 0.5000 0.1969
Y: 0.0000 0.5000 0.8031
Y: 0.5000 0.0000 0.3031
Y: 0.5000 0.0000 0.6969
Cl: 0.0000 0.0000 0.5000
Cl: 0.5000 0.5000 0.0000

Output
ΔE to the lowest computed polymorph, meV/atom: 204.4
Formation energy without anion corrections, eV/atom: -0.442

***

This record from Alexandria via LeMat-Bulk describes a relaxed La2Mg5Zn12 crystal. The functional is GGA-PBE.

Lattice parameters (Å, degrees): 7.1414 7.1414 7.1414 82.19 82.19 82.19
Atoms (fractional coordinates):
La: 0.1578 0.1578 0.1578
La: 0.8422 0.8422 0.8422
Mg: 0.0000 0.5000 0.5000
Mg: 0.3999 0.3999 0.3999
Mg: 0.5000 0.0000 0.5000
Mg: 0.5000 0.5000 0.0000
Mg: 0.6001 0.6001 0.6001
Zn: 0.1440 0.1440 0.6656
Zn: 0.1440 0.6656 0.1440
Zn: 0.2084 0.5000 0.7916
Zn: 0.2084 0.7916 0.5000
Zn: 0.3344 0.8560 0.8560
Zn: 0.5000 0.2084 0.7916
Zn: 0.5000 0.7916 0.2084
Zn: 0.6656 0.1440 0.1440
Zn: 0.7916 0.2084 0.5000
Zn: 0.7916 0.5000 0.2084
Zn: 0.8560 0.3344 0.8560
Zn: 0.8560 0.8560 0.3344

Output
ΔH_f (0 K), eV per atom: -0.22

***

This record from Alexandria via LeMat-Bulk describes a relaxed CdCuIr2 crystal. The functional is GGA-PBE.

Lattice parameters (Å, degrees): 2.8564 4.6713 9.3161 90.00 90.00 90.00
Atoms (fractional coordinates):
Cd: 0.0000 0.0000 0.0000
Cd: 0.5000 0.5000 0.5000
Cu: 0.0000 0.5000 0.7573
Cu: 0.5000 0.0000 0.2573
Ir: 0.0000 0.0000 0.4960
Ir: 0.0000 0.5000 0.2302
Ir: 0.5000 0.0000 0.7302
Ir: 0.5000 0.5000 0.9960

Output
ΔH_f (0 K), eV per atom: 0.31

***

This record from Alexandria via LeMat-Bulk describes a relaxed Sn3OsPb crystal. The functional is GGA-PBE.

Lattice parameters (Å, degrees): 5.2012 5.2012 5.2012 90.00 90.00 90.00
Atoms (fractional coordinates):
Sn: 0.0000 0.0000 0.5000
Sn: 0.0000 0.5000 0.0000
Sn: 0.5000 0.0000 0.0000
Os: 0.0000 0.0000 0.0000
Pb: 0.5000 0.5000 0.5000

Output
ΔH_f (0 K), eV per atom: 0.33
ΔE to the lowest computed polymorph, meV/atom: 0.0

***

This record from Alexandria via LeMat-Bulk describes a relaxed GaFe3H crystal. The functional is GGA-PBE.

Lattice parameters (Å, degrees): 7.7014 7.7014 2.7099 90.00 90.00 39.49
Atoms (fractional coordinates):
Ga: 0.0000 0.0000 0.0000
Ga: 0.2495 0.2495 0.0002
Fe: 0.1464 0.6152 0.4992
Fe: 0.3698 0.8756 0.5000
Fe: 0.4987 0.4987 0.9991
Fe: 0.6152 0.1464 0.4992
Fe: 0.7467 0.7467 0.0005
Fe: 0.8756 0.3698 0.5000
H: 0.6244 0.6244 0.0010
H: 0.8138 0.8138 0.5008

***

This record from Alexandria via LeMat-Bulk describes a relaxed La2Tc2N5 crystal. The functional is GGA-PBE.

Lattice parameters (Å, degrees): 3.9739 3.9739 7.6090 90.00 90.00 90.00
Atoms (fractional coordinates):
La: 0.0000 0.0000 0.0000
La: 0.0000 0.0000 0.5000
Tc: 0.5000 0.5000 0.2468
Tc: 0.5000 0.5000 0.7532
N: 0.0000 0.5000 0.2238
N: 0.0000 0.5000 0.7762
N: 0.5000 0.0000 0.2238
N: 0.5000 0.0000 0.7762
N: 0.5000 0.5000 0.5000

Output
ΔE to the lowest computed polymorph, meV/atom: 0.0
Formation energy without anion corrections, eV/atom: -0.731

***

This record from Alexandria via LeMat-Bulk describes a relaxed KYTl2 crystal. The functional is GGA-PBE.

Lattice parameters (Å, degrees): 7.9715 7.9715 7.9715 90.00 90.00 90.00
Atoms (fractional coordinates):
K: 0.0000 0.0000 0.0000
K: 0.0000 0.5000 0.5000
K: 0.5000 0.0000 0.5000
K: 0.5000 0.5000 0.0000
Y: 0.2500 0.2500 0.2500
Y: 0.2500 0.7500 0.7500
Y: 0.7500 0.2500 0.7500
Y: 0.7500 0.7500 0.2500
Tl: 0.0000 0.0000 0.5000
Tl: 0.0000 0.5000 0.0000
Tl: 0.2500 0.2500 0.7500
Tl: 0.2500 0.7500 0.2500
Tl: 0.5000 0.0000 0.0000
Tl: 0.5000 0.5000 0.5000
Tl: 0.7500 0.2500 0.2500
Tl: 0.7500 0.7500 0.7500

Output
ΔH_f (0 K), eV per atom: 0.18
ΔE to the lowest computed polymorph, meV/atom: 389.3

***

This record from Alexandria via LeMat-Bulk describes a relaxed CsYPbCl6 crystal. The functional is GGA-PBE.

Lattice parameters (Å, degrees): 7.3870 7.3870 7.5257 90.00 90.00 120.00
Atoms (fractional coordinates):
Cs: 0.0000 0.0000 0.0000
Y: 0.6667 0.3333 0.5000
Pb: 0.3333 0.6667 0.5000
Cl: 0.3887 0.0255 0.7056
Cl: 0.3887 0.3631 0.2944
Cl: 0.6368 0.0255 0.2944
Cl: 0.6368 0.6113 0.7056
Cl: 0.9745 0.3631 0.7056
Cl: 0.9745 0.6113 0.2944

Output
Formation energy without anion corrections, eV/atom: -1.894

***

This record from Alexandria via LeMat-Bulk describes a relaxed Dy6CdPd5 crystal. The functional is GGA-PBE.

Lattice parameters (Å, degrees): 5.0046 7.1197 7.8986 90.00 108.32 90.00
Atoms (fractional coordinates):
Dy: 0.0000 0.2384 0.0000
Dy: 0.0000 0.7616 0.0000
Dy: 0.3285 0.2466 0.6577
Dy: 0.3285 0.7534 0.6577
Dy: 0.6715 0.2466 0.3423
Dy: 0.6715 0.7534 0.3423
Cd: 0.5000 0.5000 0.0000
Pd: 0.1589 0.5000 0.3158
Pd: 0.1684 0.0000 0.3345
Pd: 0.5000 0.0000 0.0000
Pd: 0.8316 0.0000 0.6655
Pd: 0.8411 0.5000 0.6842

Output
ΔH_f (0 K), eV per atom: -0.77

***

This record from Alexandria via LeMat-Bulk describes a relaxed AcTiAsO2 crystal. The functional is GGA-PBE.

Lattice parameters (Å, degrees): 6.3292 6.3292 7.2895 90.00 90.00 144.09
Atoms (fractional coordinates):
Ac: 0.2257 0.7743 0.7500
Ac: 0.7743 0.2257 0.2500
Ti: 0.5000 0.5000 0.0000
Ti: 0.5000 0.5000 0.5000
As: 0.0442 0.9558 0.2500
As: 0.9558 0.0442 0.7500
O: 0.3447 0.6553 0.0484
O: 0.3447 0.6553 0.4516
O: 0.6553 0.3447 0.5484
O: 0.6553 0.3447 0.9516

Output
Formation energy without anion corrections, eV/atom: -2.511

***

This record from Alexandria via LeMat-Bulk describes a relaxed CrHSe2 crystal. The functional is GGA-PBE.

Lattice parameters (Å, degrees): 5.4132 5.4132 9.9566 90.00 90.00 90.00
Atoms (fractional coordinates):
Cr: 0.0000 0.0000 0.0000
Cr: 0.0000 0.5000 0.2500
Cr: 0.5000 0.0000 0.7500
Cr: 0.5000 0.5000 0.5000
H: 0.0000 0.0000 0.5000
H: 0.0000 0.5000 0.7500
H: 0.5000 0.0000 0.2500
H: 0.5000 0.5000 0.0000
Se: 0.2160 0.2500 0.6250
Se: 0.2500 0.7160 0.8750
Se: 0.2500 0.7840 0.3750
Se: 0.2840 0.2500 0.1250
Se: 0.7160 0.7500 0.1250
Se: 0.7500 0.2160 0.3750
Se: 0.7500 0.2840 0.8750
Se: 0.7840 0.7500 0.6250

Output
ΔE to the lowest computed polymorph, meV/atom: 467.1

***

This record from Alexandria via LeMat-Bulk describes a relaxed VCo3Pd crystal. The functional is GGA-PBE.

Lattice parameters (Å, degrees): 4.1737 4.1737 4.1737 90.00 90.00 90.00
Atoms (fractional coordinates):
V: 0.0000 0.0000 0.0000
Co: 0.0000 0.0000 0.5000
Co: 0.0000 0.5000 0.0000
Co: 0.5000 0.0000 0.0000
Pd: 0.5000 0.5000 0.5000

Output
ΔH_f (0 K), eV per atom: 1.00
ΔE to the lowest computed polymorph, meV/atom: 0.0

***

This record from Alexandria via LeMat-Bulk describes a relaxed Zn2Ga2Ag5 crystal. The functional is GGA-PBE.

Lattice parameters (Å, degrees): 4.8563 5.0289 6.7590 82.25 74.33 75.60
Atoms (fractional coordinates):
Zn: 0.1151 0.2340 0.0639
Zn: 0.8849 0.7660 0.9361
Ga: 0.2312 0.4430 0.6049
Ga: 0.7688 0.5570 0.3951
Ag: 0.0000 0.0000 0.5000
Ag: 0.3155 0.6744 0.1604
Ag: 0.4276 0.8998 0.7337
Ag: 0.5724 0.1002 0.2663
Ag: 0.6845 0.3256 0.8396

Output
ΔH_f (0 K), eV per atom: -0.01
ΔE to the lowest computed polymorph, meV/atom: 0.0

***

Calculated Fermi-level density of states in order - 5.5, 9.2, 5.2, 19.9, 12.5, 25.7, 6.6, 9.2, 4.8, 9.2, 5.3, 5.1, 2.5, 16.4, 0.0, 8.9, 0.8, 5.3, 8.0, 1.8 states/eV per cell
Calculated volume in order - 23.19, 15.03, 37.08, 20.93, 14.50, 20.38, 24.86, 31.97, 18.68, 15.54, 28.14, 10.22, 13.35, 31.66, 39.52, 22.26, 17.12, 18.23, 14.54, 17.06 Å³ per atom
Calculated VASP energy in order - -5.25, -6.42, -1.92, -5.36, -6.70, -7.78, -6.62, -4.41, -1.96, -5.38, -5.06, -6.40, -8.76, -2.89, -4.35, -5.31, -7.82, -4.85, -6.12, -2.55 eV per atom